Record 1
The following is a DFT calculation (GGA-PBE) of AlZn2Sb after structural relaxation.

a b c (Å): 5.4992 5.4992 5.4992
angles (deg): 136.34 136.34 63.46
Positions (direct):
Al (0.0000, 0.0000, 0.0000)
Zn (0.5000, 0.5000, 0.0000)
Zn (0.7500, 0.2500, 0.5000)
Sb (0.2500, 0.7500, 0.5000)

Record 2
The following is a DFT calculation (GGA-PBE) of Al4ZnSb after structural relaxation.

a b c (Å): 5.4607 5.4607 5.4607
angles (deg): 60.00 60.00 60.00
Positions (direct):
Al (0.1254, 0.1254, 0.1254)
Al (0.1254, 0.1254, 0.6237)
Al (0.1254, 0.6237, 0.1254)
Al (0.6237, 0.1254, 0.1254)
Zn (0.5000, 0.5000, 0.5000)
Sb (0.7500, 0.7500, 0.7500)

Record 3
The following is a DFT calculation (GGA-PBE) of AlZn2Sb after structural relaxation.

a b c (Å): 3.4673 3.4673 6.4272
angles (deg): 90.00 90.00 90.00
Positions (direct):
Al (0.0000, 0.0000, 0.0000)
Zn (0.0000, 0.0000, 0.5773)
Zn (0.5000, 0.5000, 0.7798)
Sb (0.5000, 0.5000, 0.2826)

| no. | uncorrected energy (eV/atom) | magnetization (μB/f.u.) |
| --- | --- | --- |
| 1 | -2.42 | 0.0 |
| 2 | -3.17 | 0.0 |
| 3 | -2.42 | 0.0 |